The following is a DFT calculation (PBE+U) of an optimized crystal structure of CrAgF2.

The total energy is -59.83 eV per cell. The density of states at the Fermi level comes out at 2.351 states/eV/f.u. The value obtained for the calculated volume is 19.1 Å³/atom.

It has space group R-3m (No. 166, hexagonal axes), with a = 3.2348 Å, b = 3.2348 Å, c = 25.3143 Å, α = 90.00°, β = 90.00° and γ = 120.00°. The asymmetric unit holds Cr at (0.0000, 0.0000, 0.0000), Ag at (0.0000, 0.0000, 0.5000) and F at (0.0000, 0.0000, 0.3719).